No. 1
# KHoPuBr6

An optimized crystal structure of KHoPuBr6 (GGA-PBE, Alexandria via LeMat-Bulk).

Cell and atoms, written as POSCAR:
```
KHoPuBr6
1.0
-4.8624 -0.0297 -5.6776
7.2945 -0.9612 -1.3211
-1.6296 -14.3893 1.4709
K Ho Pu Br
2 2 2 12
direct
0.0000 0.0000 0.0000 K
0.0000 0.0000 0.5000 K
0.6667 0.3333 0.2500 Ho
0.3333 0.6667 0.7500 Ho
0.3333 0.6667 0.2500 Pu
0.6667 0.3333 0.7500 Pu
0.6459 0.6276 0.1368 Br
0.9817 0.3541 0.1368 Br
0.3541 0.9817 0.6368 Br
0.0183 0.6459 0.8632 Br
0.3724 0.3541 0.3632 Br
0.9817 0.6276 0.3632 Br
0.6276 0.9817 0.8632 Br
0.6459 0.0183 0.3632 Br
0.0183 0.3724 0.6368 Br
0.3724 0.0183 0.1368 Br
0.6276 0.6459 0.6368 Br
0.3541 0.3724 0.8632 Br
```

Space-group type: P-31c
V (Å³ per atom): 39.1
Magnetic moment (μB per cell): 12.00
Formation energy (no corrections) (eV per atom): -1.71



No. 2
# Ce4SbTeS2

An optimized crystal structure of Ce4SbTeS2 (GGA-PBE, Alexandria via LeMat-Bulk).

Cell and atoms, written as POSCAR:
```
Ce4SbTeS2
1.0
-5.7103 1.4514 -6.1417
3.9883 -5.5883 -5.0301
-2.5899 -2.3360 7.8032
Ce Sb Te S
8 2 2 4
direct
0.2834 0.7591 0.0213 Ce
0.7409 0.2166 0.4787 Ce
0.2592 0.7836 0.5214 Ce
0.7166 0.2408 0.9787 Ce
0.7393 0.7607 0.0246 Ce
0.7393 0.7607 0.4753 Ce
0.2607 0.2393 0.5247 Ce
0.2607 0.2393 0.9753 Ce
0.0000 0.5000 0.0000 Sb
0.0000 0.5000 0.5000 Sb
0.5000 0.5000 0.5000 Te
0.0000 0.0000 0.0000 Te
0.5000 0.0000 0.0000 S
0.5000 0.0000 0.5000 S
0.0000 0.0000 0.5000 S
0.5000 0.5000 0.0000 S
```

Space-group type: Imma
V (Å³ per atom): 27.2
Magnetic moment (μB per cell): 7.22
Formation energy (no corrections) (eV per atom): -1.59



No. 3
# La8FeCo2

An optimized crystal structure of La8FeCo2 (GGA-PBE, Alexandria via LeMat-Bulk).

Cell and atoms, written as POSCAR:
```
La8FeCo2
1.0
-2.3684 -6.4691 2.2854
6.7595 -1.7207 2.1345
0.0424 5.7305 4.7390
Co Fe La
2 1 8
direct
0.1122 0.4432 0.2244 Co
0.8878 0.5568 0.7756 Co
0.0000 0.0000 0.0000 Fe
0.7165 0.2586 0.9288 La
0.2123 0.2586 0.9288 La
0.2835 0.7414 0.0712 La
0.7145 0.4041 0.4289 La
0.7877 0.7414 0.0712 La
0.2035 0.1164 0.4070 La
0.7965 0.8836 0.5930 La
0.2855 0.5959 0.5711 La
```

Space-group type: C2/m
Energy of formation (meV/atom): -3.6
V (Å³ per atom): 31.2
Magnetic moment (μB per cell): 0.00



No. 4
# Pm4DyBi5

An optimized crystal structure of Pm4DyBi5 (GGA-PBE, Alexandria via LeMat-Bulk).

Cell and atoms, written as POSCAR:
```
Pm4DyBi5
1.0
4.5598 0.0000 0.0000
0.0000 4.5598 0.0000
-2.2799 -2.2799 16.1058
Pm Dy Bi
4 1 5
direct
0.4003 0.4003 0.8006 Pm
0.8006 0.8006 0.6013 Pm
0.1994 0.1994 0.3987 Pm
0.5997 0.5997 0.1994 Pm
0.0000 0.0000 0.0000 Dy
0.0986 0.0986 0.1972 Bi
0.5000 0.5000 0.0000 Bi
0.9014 0.9014 0.8028 Bi
0.3000 0.3000 0.5999 Bi
0.7000 0.7000 0.4001 Bi
```

Space-group type: I4/mmm
Energy of formation (meV/atom): -923.1
V (Å³ per atom): 33.5
Magnetic moment (μB per cell): 0.00



No. 5
# PrNdTm4

An optimized crystal structure of PrNdTm4 (GGA-PBE, Alexandria via LeMat-Bulk).

Cell and atoms, written as POSCAR:
```
PrNdTm4
1.0
-2.0271 -3.8781 4.7641
4.0272 -4.4480 -6.8024
5.4687 4.8970 4.3690
Pr Nd Tm
2 2 8
direct
0.2427 0.9927 0.9854 Pr
0.7573 0.0073 0.0146 Pr
0.3353 0.5853 0.1706 Nd
0.6647 0.4147 0.8294 Nd
0.0385 0.1608 0.7272 Tm
0.7393 0.7118 0.6099 Tm
0.1887 0.5664 0.7272 Tm
0.3706 0.8981 0.6099 Tm
0.6294 0.1019 0.3901 Tm
0.8113 0.4336 0.2728 Tm
0.2607 0.2882 0.3901 Tm
0.9615 0.8392 0.2728 Tm
```

Space-group type: C2/c
Energy of formation (meV/atom): 152.7
V (Å³ per atom): 32.9
Magnetic moment (μB per cell): 0.00
Relative energy among the computed polymorphs (eV per atom): 0.127



No. 6
# Sm5CdPb4

An optimized crystal structure of Sm5CdPb4 (GGA-PBE, Alexandria via LeMat-Bulk).

Cell and atoms, written as POSCAR:
```
Sm5CdPb4
1.0
6.4567 0.0000 0.0000
3.2284 7.0578 0.0000
3.2284 0.0000 7.0578
Sm Cd Pb
5 1 4
direct
0.8724 0.4064 0.7857 Sm
0.2788 0.7857 0.5936 Sm
0.6581 0.2143 0.4064 Sm
0.0644 0.5936 0.2143 Sm
0.6340 0.0000 0.0000 Sm
0.1409 0.0000 0.0000 Cd
0.3624 0.3895 0.8166 Pb
0.7519 0.8166 0.6105 Pb
0.1789 0.1834 0.3895 Pb
0.5685 0.6105 0.1834 Pb
```

Space-group type: I4
Energy of formation (meV/atom): -350.0
V (Å³ per atom): 32.2
Magnetic moment (μB per cell): 0.00



No. 7
# KFeAs4

An optimized crystal structure of KFeAs4 (GGA-PBE, Alexandria via LeMat-Bulk).

Cell and atoms, written as POSCAR:
```
KFeAs4
1.0
-1.9899 -3.7026 3.8159
-2.4486 1.8756 4.7662
-5.5988 -0.5857 0.7352
K Fe As
1 1 4
direct
0.0000 0.0000 0.0000 K
0.7500 0.7500 0.7500 Fe
0.8687 0.3771 0.3771 As
0.3771 0.3771 0.8687 As
0.3771 0.8687 0.3771 As
0.3771 0.3771 0.3771 As
```

Space-group type: F-43m
Energy of formation (meV/atom): 429.4
V (Å³ per atom): 21.6
Magnetic moment (μB per cell): 3.49



No. 8
# K2YGaCl6

An optimized crystal structure of K2YGaCl6 (GGA-PBE, Alexandria via LeMat-Bulk).

Cell and atoms, written as POSCAR:
```
K2YGaCl6
1.0
7.6198 0.0001 0.0002
3.8100 6.5990 0.0000
3.8099 2.2000 6.5082
K Y Ga Cl
2 1 1 6
direct
0.5356 0.5356 0.3931 K
0.0271 0.0271 0.9187 K
0.3215 0.3214 0.0356 Y
0.8124 0.8124 0.5628 Ga
0.5670 0.1908 0.2529 Cl
0.1907 0.9893 0.2529 Cl
0.9893 0.5670 0.2529 Cl
0.4502 0.6591 0.7820 Cl
0.6591 0.1086 0.7820 Cl
0.1086 0.4502 0.7820 Cl
```

Space-group type: R3
V (Å³ per atom): 32.7
Magnetic moment (μB per cell): 0.00
Formation energy (no corrections) (eV per atom): -1.87



No. 9
# Sm7Ho12Zr

An optimized crystal structure of Sm7Ho12Zr (GGA-PBE, Alexandria via LeMat-Bulk).

Cell and atoms, written as POSCAR:
```
Sm7Ho12Zr
1.0
-5.8313 -6.1402 -1.8005
3.2373 -0.0842 -8.0287
5.8109 -5.7300 2.8894
Sm Ho Zr
7 12 1
direct
0.8784 0.6348 0.9537 Sm
0.3652 0.0463 0.1216 Sm
0.0463 0.1216 0.3652 Sm
0.5000 0.5000 0.5000 Sm
0.9537 0.8784 0.6348 Sm
0.6348 0.9537 0.8784 Sm
0.1216 0.3652 0.0463 Sm
0.8624 0.2596 0.7154 Ho
0.7404 0.2846 0.1376 Ho
0.5549 0.1631 0.4574 Ho
0.8369 0.5426 0.4451 Ho
0.2846 0.1376 0.7404 Ho
0.5426 0.4451 0.8369 Ho
0.4574 0.5549 0.1631 Ho
0.7154 0.8624 0.2596 Ho
0.1631 0.4574 0.5549 Ho
0.4451 0.8369 0.5426 Ho
0.2596 0.7154 0.8624 Ho
0.1376 0.7404 0.2846 Ho
0.0000 0.0000 0.0000 Zr
```

Space-group type: R-3
Energy of formation (meV/atom): 272.3
V (Å³ per atom): 32.3
Magnetic moment (μB per cell): 0.00



No. 10
# Al3SiI

An optimized crystal structure of Al3SiI (GGA-PBE, Alexandria via LeMat-Bulk).

Cell and atoms, written as POSCAR:
```
Al3SiI
1.0
-0.3032 2.9461 4.0902
-4.9352 0.6604 -0.8416
-1.0259 -4.0479 2.8395
I Si Al
1 1 3
direct
0.5000 0.5000 0.5000 I
0.0000 0.0000 0.0000 Si
0.0000 0.5000 0.0000 Al
0.0000 0.0000 0.5000 Al
0.5000 0.0000 0.0000 Al
```

Space-group type: Pm-3m
V (Å³ per atom): 25.8
Magnetic moment (μB per cell): 0.00
Relative energy among the computed polymorphs (eV per atom): 0.000
Formation energy (no corrections) (eV per atom): 0.45



No. 11
# SnB

An optimized crystal structure of SnB (GGA-PBE, Alexandria via LeMat-Bulk).

Cell and atoms, written as POSCAR:
```
SnB
1.0
-1.8376 -0.8147 2.4112
-3.3141 -1.1976 -1.6160
0.6044 -6.2336 -0.8805
B Sn
2 2
direct
0.7393 0.0491 0.4676 B
0.2607 0.9509 0.5324 B
0.3538 0.3286 0.7903 Sn
0.6462 0.6714 0.2097 Sn
```

Space-group type: P-1
Energy of formation (meV/atom): 385.7
V (Å³ per atom): 17.8
Magnetic moment (μB per cell): 0.00
Relative energy among the computed polymorphs (eV per atom): 0.000



No. 12
# Fe2SbBr

An optimized crystal structure of Fe2SbBr (GGA-PBE, Alexandria via LeMat-Bulk).

Cell and atoms, written as POSCAR:
```
Fe2SbBr
1.0
-0.6014 3.0317 0.0023
-2.2600 -0.4438 -5.8805
-3.7631 -0.7476 1.5027
Br Fe Sb
1 2 1
direct
0.0000 0.5000 0.5000 Br
0.0000 0.0000 0.0000 Fe
0.5000 0.5000 0.0000 Fe
0.5000 0.0000 0.5000 Sb
```

Space-group type: Pmmm
V (Å³ per atom): 20.1
Magnetic moment (μB per cell): 4.91
Relative energy among the computed polymorphs (eV per atom): 0.609
Formation energy (no corrections) (eV per atom): 0.67



No. 13
# Ca3Dy2TaN6

An optimized crystal structure of Ca3Dy2TaN6 (GGA-PBE, Alexandria via LeMat-Bulk).

Cell and atoms, written as POSCAR:
```
Ca3Dy2TaN6
1.0
5.8869 -0.0017 -0.0021
-2.9435 5.0982 -0.0021
-0.9839 -1.7037 5.6421
Ca Dy Ta N
3 2 1 6
direct
0.1641 0.8359 0.5000 Ca
0.8359 0.1641 0.5000 Ca
0.5000 0.5000 0.5000 Ca
0.3333 0.6667 0.0000 Dy
0.6667 0.3333 0.0000 Dy
0.0000 0.0000 0.0000 Ta
0.9268 0.6220 0.7798 N
0.7682 0.7682 0.2168 N
0.0732 0.3780 0.2202 N
0.6220 0.9268 0.7798 N
0.2318 0.2318 0.7832 N
0.3780 0.0732 0.2202 N
```

Space-group type: C2/m
V (Å³ per atom): 14.1
Magnetic moment (μB per cell): 0.00
Formation energy (no corrections) (eV per atom): -1.26



No. 14
# SrReSe2N

An optimized crystal structure of SrReSe2N (GGA-PBE, Alexandria via LeMat-Bulk).

Cell and atoms, written as POSCAR:
```
SrReSe2N
1.0
5.2207 0.0000 0.0000
0.0000 3.8225 0.0000
0.0000 0.0000 5.2207
Re N Se Sr
1 1 2 1
direct
0.0000 0.0000 0.0000 Re
0.0000 0.5000 0.0000 N
0.0000 0.0000 0.5000 Se
0.5000 0.0000 0.0000 Se
0.5000 0.5000 0.5000 Sr
```

Space-group type: P4/mmm
V (Å³ per atom): 20.8
Magnetic moment (μB per cell): 0.83
Relative energy among the computed polymorphs (eV per atom): 0.000
Formation energy (no corrections) (eV per atom): -0.53



No. 15
# MnIn2Ni

An optimized crystal structure of MnIn2Ni (GGA-PBE, Alexandria via LeMat-Bulk).

Cell and atoms, written as POSCAR:
```
MnIn2Ni
1.0
0.0000 3.2307 3.2307
3.2307 0.0000 3.2307
3.2307 3.2307 0.0000
Ni Mn In
1 1 2
direct
0.5000 0.5000 0.5000 Ni
0.0000 0.0000 0.0000 Mn
0.2500 0.2500 0.2500 In
0.7500 0.7500 0.7500 In
```

Space-group type: Fm-3m
Energy of formation (meV/atom): 112.1
V (Å³ per atom): 16.9
Magnetic moment (μB per cell): 3.44



No. 16
# Li3YSc2Se6

An optimized crystal structure of Li3YSc2Se6 (GGA-PBE, Alexandria via LeMat-Bulk).

Cell and atoms, written as POSCAR:
```
Li3YSc2Se6
1.0
6.8212 -0.0017 -0.0009
-3.4104 5.9075 -0.0009
-1.1383 -1.9710 6.4417
Li Y Sc Se
3 1 2 6
direct
0.1657 0.8343 0.5000 Li
0.8343 0.1657 0.5000 Li
0.5000 0.5000 0.5000 Li
0.0000 0.0000 0.0000 Y
0.3330 0.6670 0.0000 Sc
0.6670 0.3330 0.0000 Sc
0.9179 0.5719 0.7543 Se
0.7365 0.7365 0.2473 Se
0.0821 0.4281 0.2457 Se
0.5719 0.9179 0.7543 Se
0.2635 0.2635 0.7527 Se
0.4281 0.0821 0.2457 Se
```

Space-group type: C2/m
V (Å³ per atom): 21.6
Magnetic moment (μB per cell): 0.00
Formation energy (no corrections) (eV per atom): -1.63



No. 17
# TaReAs2Br

An optimized crystal structure of TaReAs2Br (GGA-PBE, Alexandria via LeMat-Bulk).

Cell and atoms, written as POSCAR:
```
TaReAs2Br
1.0
-2.6626 -4.2648 -0.0877
1.9303 -1.2968 4.4585
-3.8522 2.3566 2.3532
Re As Br Ta
1 2 1 1
direct
0.5000 0.5000 0.5000 Re
0.0000 0.5000 0.0000 As
0.5000 0.0000 0.0000 As
0.0000 0.0000 0.5000 Br
0.0000 0.0000 0.0000 Ta
```

Space-group type: P4/mmm
V (Å³ per atom): 25.8
Magnetic moment (μB per cell): 5.12
Relative energy among the computed polymorphs (eV per atom): 0.000
Formation energy (no corrections) (eV per atom): 1.27



No. 18
# LiCe2Co3As4

An optimized crystal structure of LiCe2Co3As4 (GGA-PBE, Alexandria via LeMat-Bulk).

Cell and atoms, written as POSCAR:
```
LiCe2Co3As4
1.0
4.1949 0.0000 0.0000
0.0000 4.1949 0.0000
0.0000 0.0000 9.3508
Li Ce Co As
1 2 3 4
direct
0.5000 0.5000 0.5000 Li
0.5000 0.0000 0.2485 Ce
0.0000 0.5000 0.7515 Ce
0.0000 0.0000 0.5000 Co
0.5000 0.0000 0.8875 Co
0.0000 0.5000 0.1125 Co
0.5000 0.5000 0.0000 As
0.0000 0.0000 0.0000 As
0.5000 0.0000 0.6361 As
0.0000 0.5000 0.3639 As
```

Space-group type: P-4m2
Energy of formation (meV/atom): -804.6
V (Å³ per atom): 16.5
Magnetic moment (μB per cell): 0.23



No. 19
# InH2Pb

An optimized crystal structure of InH2Pb (GGA-PBE, Alexandria via LeMat-Bulk).

Cell and atoms, written as POSCAR:
```
InH2Pb
1.0
2.2361 -2.6131 -2.9322
-0.3136 -4.4994 0.2876
-2.2681 -2.3132 -3.1513
Pb H In
1 2 1
direct
0.5000 0.5000 0.5000 Pb
0.2500 0.2500 0.2500 H
0.7500 0.7500 0.7500 H
0.0000 0.0000 0.0000 In
```

Space-group type: Fm-3m
V (Å³ per atom): 16.3
Magnetic moment (μB per cell): 0.00
Relative energy among the computed polymorphs (eV per atom): 0.179